This record from the Alexandria database describes Dy3V after structural relaxation. The functional is PBE.

M_tot (μB/cell): 3.247
Energy above the lowest structure with this stoichiometry (meV per atom): 0
Energy relative to the elements (eV per formula unit): 0.855

abc: 3.6892 5.3611 6.4186
angles: 114.68 106.70 90.00
With the nearest neighbours (Å) after each atom.
Fractional coordinates of all 4 atoms:
1 Dy 0.7125 0.1287 0.4250  2 V 2.99
2 V 0.0000 0.9173 0.0000  8 Dy 2.99-3.26
3 Dy 0.2875 0.7037 0.5750  2 V 2.99
4 Dy 0.5000 0.4168 0.0000  4 V 3.25-3.26, 4 Dy 3.56-3.57



This record from the Alexandria database describes Dy3V after structural relaxation. The functional is PBE.

M_tot (μB/cell): 3.439
Energy above the lowest structure with this stoichiometry (meV per atom): 103
Energy relative to the elements (eV per formula unit): 1.268

abc: 5.3518 5.3518 5.3518
angles: 60.00 60.00 60.00
With the nearest neighbours (Å) after each atom.
Fractional coordinates of all 4 atoms:
1 V 0.0000 0.0000 0.0000  8 Dy 3.28
2 Dy 0.5000 0.5000 0.5000  8 Dy 3.28
3 Dy 0.2500 0.2500 0.2500  4 Dy 3.28, 4 V 3.28
4 Dy 0.7500 0.7500 0.7500  4 V 3.28, 4 Dy 3.28



This record from the Alexandria database describes DyV4W after structural relaxation. The functional is PBE.

M_tot (μB/cell): 0.000
Energy relative to the elements (eV per formula unit): 1.535

abc: 5.1392 5.1392 5.1392
angles: 60.00 60.00 60.00
With the nearest neighbours (Å) after each atom.
Fractional coordinates of all 6 atoms:
1 V 0.6251 0.6251 0.6251  6 V 2.57
2 V 0.6251 0.6251 0.1246  6 V 2.57
3 V 0.6251 0.1246 0.6251  6 V 2.57
4 Dy 0.0000 0.0000 0.0000  12 V 3.01, 4 W 3.15
5 V 0.1246 0.6251 0.6251  6 V 2.57
6 W 0.2500 0.2500 0.2500  12 V 3.01, 4 Dy 3.15



This record from the Alexandria database describes DyYV4 after structural relaxation. The functional is PBE.

M_tot (μB/cell): 0.000
Energy relative to the elements (eV per formula unit): 2.260

abc: 5.3977 5.3977 5.3977
angles: 60.00 60.00 60.00
With the nearest neighbours (Å) after each atom.
Fractional coordinates of all 6 atoms:
1 V 0.6295 0.1114 0.6295  6 V 2.60-2.80
2 V 0.1114 0.6295 0.6295  6 V 2.60-2.80
3 V 0.6295 0.6295 0.6295  6 V 2.60-2.80
4 Y 0.2500 0.2500 0.2500  12 V 3.18, 4 Dy 3.31
5 Dy 0.0000 0.0000 0.0000  12 V 3.15, 4 Y 3.31
6 V 0.6295 0.6295 0.1114  6 V 2.60-2.80



This record from the Alexandria database describes DyVZn2 after structural relaxation. The functional is PBE.

M_tot (μB/cell): 1.245
Energy relative to the elements (eV per formula unit): 1.103

abc: 3.0772 3.0772 9.3358
angles: 80.51 80.51 60.00
With the nearest neighbours (Å) after each atom.
Fractional coordinates of all 4 atoms:
1 Zn 0.2595 0.2595 0.2214  3 V 2.70
2 V 0.0000 0.0000 0.0000  6 Zn 2.70
3 Dy 0.5000 0.5000 0.5000  6 Dy 3.08, 6 Zn 3.11
4 Zn 0.7405 0.7405 0.7786  3 V 2.70



This record from the Alexandria database describes DyVZn4 after structural relaxation. The functional is PBE.

M_tot (μB/cell): 3.195
Energy relative to the elements (eV per formula unit): -0.994

abc: 5.2290 5.2290 5.2290
angles: 60.00 60.00 60.00
With the nearest neighbours (Å) after each atom.
Fractional coordinates of all 6 atoms:
1 Dy 0.0000 0.0000 0.0000  12 Zn 3.07, 4 V 3.20
2 V 0.2500 0.2500 0.2500  12 Zn 3.06, 4 Dy 3.20
3 Zn 0.6241 0.6241 0.6241  6 Zn 2.60-2.63
4 Zn 0.6241 0.6241 0.1276  6 Zn 2.60-2.63
5 Zn 0.6241 0.1276 0.6241  6 Zn 2.60-2.63
6 Zn 0.1277 0.6241 0.6241  6 Zn 2.60-2.63